# 1
An optimized crystal structure of LaSm4Th. Source: Alexandria via LeMat-Bulk, functional PBE-GGA.

Unit cell a=3.6398 b=7.3398 c=8.0645 alpha=76.74 beta=77.04 gamma=89.85
With the nearest neighbours (Å) after each atom.
Space group P-1 (No. 2)
Unique sites:
La (0.0000, 0.0000, 0.0000) (multiplicity 1)  8 Sm 3.62-3.64, 2 La 3.64, 2 Th 3.67
Sm (0.3360, 0.1760, 0.3292) (multiplicity 2)  8 Sm 3.55-3.79, 2 Th 3.57-3.58, 2 La 3.64
Sm (0.3372, 0.6604, 0.3265) (multiplicity 2)  8 Sm 3.55-3.79, 2 Th 3.56, 2 La 3.62
Th (0.0000, 0.5000, 0.0000) (multiplicity 1)  8 Sm 3.56-3.58, 2 Th 3.64, 2 La 3.67

Output
For the energy above the most stable polymorph in this dataset, the calculation gives 0 meV per atom. The volume comes out at 204.1 Å³ per cell. The formation energy is 0.031 eV per atom.

***

# 2
An optimized crystal structure of TbPm3In2. Source: Alexandria via LeMat-Bulk, functional PBE-GGA.

Unit cell a=5.3040 b=10.0338 c=6.8247 alpha=90.00 beta=90.00 gamma=90.00
With the nearest neighbours (Å) after each atom.
Space group Pmc2_1 (No. 26)
Unique sites:
Tb (0.0000, 0.0386, 0.0000) (multiplicity 2)  5 In 3.30-3.67, 2 Tb 3.50, 3 Pm 3.53-3.64
Pm (0.0000, 0.3197, 0.6625) (multiplicity 2)  5 In 3.25-3.56, 2 Pm 3.55, 1 Tb 3.64
Pm (0.5000, 0.1751, 0.2764) (multiplicity 2)  5 In 3.20-3.55, 2 Tb 3.53
Pm (0.5000, 0.4632, 0.9368) (multiplicity 2)  5 In 3.32-3.66, 5 Pm 3.49-3.71
In (0.0000, 0.3540, 0.1815) (multiplicity 2)  7 Pm 3.27-3.56, 1 Tb 3.40
In (0.5000, 0.1437, 0.7587) (multiplicity 2)  6 Pm 3.20-3.55, 2 Tb 3.30

Output
For the energy above the most stable polymorph in this dataset, the calculation gives 0 meV per atom. The volume comes out at 363.2 Å³ per cell. The formation energy is -0.354 eV per atom.

***

# 3
An optimized crystal structure of Zr6Pt2N. Source: Alexandria via LeMat-Bulk, functional PBE-GGA.

Unit cell a=5.7810 b=5.7810 c=11.9386 alpha=90.00 beta=90.00 gamma=90.00
With the nearest neighbours (Å) after each atom.
Space group P4_2/mnm (No. 136)
Unique sites:
Zr (0.1928, 0.1928, 0.1312) (multiplicity 8)  1 N 2.22
Zr (0.2143, 0.2143, 0.5000) (multiplicity 4)  1 N 2.34
Pt (0.0000, 0.0000, 0.3168) (multiplicity 4)  6 Zr 2.59-2.80
N (0.0000, 0.0000, 0.0000) (multiplicity 2)  6 Zr 2.22-2.34

Output
The volume comes out at 399.0 Å³ per cell. The uncorrected formation energy is -0.5206 eV/atom.

***

# 4
An optimized crystal structure of AgSn2Bi. Source: Alexandria via LeMat-Bulk, functional PBE-GGA.

Unit cell a=3.3362 b=3.3362 c=33.4673 alpha=90.00 beta=90.00 gamma=120.00
With the nearest neighbours (Å) after each atom.
Space group R-3m (No. 166, hexagonal axes)
Unique sites:
Ag (0.0000, 0.0000, 0.0000) (multiplicity 3)  6 Sn 3.06, 6 Ag 3.34
Sn (0.0000, 0.0000, 0.4045) (multiplicity 6)  3 Ag 3.06, 1 Bi 3.20, 6 Sn 3.34
Bi (0.0000, 0.0000, 0.5000) (multiplicity 3)  2 Sn 3.20, 6 Bi 3.34

Output
The volume comes out at 322.6 Å³ per cell. The formation energy is 0.083 eV per atom.